Density functional theory data (PBE-GGA) for an optimized crystal structure of BiAu2Cl6.

Computed properties:
Size of the total moment (μB/f.u.): 0.0
E above lowest polymorph (meV/atom): 0
Uncorrected formation energy (meV per atom): -479
N(E_F) (states/eV/cell): 4.150
Space group: C2/c (15)

Unit cell a=6.9731 b=9.6617 c=9.6617 alpha=78.15 beta=75.78 gamma=75.78
Positions (direct):
Cl  0.3550  0.7221  0.5071
Cl  0.7159  0.6259  0.1174
Cl  0.1450  0.4929  0.2779
Cl  0.3509  0.0399  0.1739
Au  0.2076  0.5472  0.6723
Bi  0.2500  0.0930  0.9070
Cl  0.6491  0.9601  0.8261
Bi  0.7500  0.9070  0.0930
Cl  0.1491  0.8261  0.9601
Au  0.2924  0.3277  0.4528
Cl  0.8550  0.5071  0.7221
Au  0.7924  0.4528  0.3277
Cl  0.2159  0.1174  0.6259
Cl  0.2841  0.3741  0.8826
Au  0.7076  0.6723  0.5472
Cl  0.6450  0.2779  0.4929
Cl  0.7841  0.8826  0.3741
Cl  0.8509  0.1739  0.0399

=====

Density functional theory data (PBE-GGA) for an optimized crystal structure of LiAl5.

Computed properties:
Size of the total moment (μB/f.u.): 0.0
E above lowest polymorph (meV/atom): 14
ΔH_f (0 K) (eV per atom): -0.045
N(E_F) (states/eV/cell): 4.574
Space group: P2_1/m (11)

Unit cell a=2.8235 b=4.9509 c=14.1428 alpha=90.00 beta=90.00 gamma=90.02
Positions (direct):
Al  0.2507  0.0848  0.9168
Al  0.7493  0.9152  0.4168
Al  0.7493  0.9152  0.0832
Al  0.2492  0.4183  0.0841
Al  0.2492  0.4183  0.4159
Al  0.2507  0.0848  0.5832
Li  0.2493  0.7379  0.2500
Li  0.7507  0.2621  0.7500
Al  0.7508  0.5817  0.9159
Al  0.7508  0.5817  0.5841
Al  0.7487  0.2340  0.2500
Al  0.2513  0.7660  0.7500

=====

Density functional theory data (PBE-GGA) for an optimized crystal structure of CoMo2Cl.

Computed properties:
Size of the total moment (μB/f.u.): 0.6
E above lowest polymorph (meV/atom): 453
Uncorrected formation energy (meV per atom): 731
N(E_F) (states/eV/cell): 3.905
Space group: C2/m (12)

Unit cell a=5.1930 b=4.8653 c=2.8023 alpha=79.74 beta=78.12 gamma=118.32
Positions (direct):
Mo  0.5000  0.0000  0.5000
Co  0.5000  0.5000  0.0000
Mo  0.0000  0.0000  0.0000
Cl  0.0000  0.5000  0.5000

=====

Density functional theory data (PBE-GGA) for an optimized crystal structure of KLaOs.

Computed properties:
Size of the total moment (μB/f.u.): 0.0
E above lowest polymorph (meV/atom): 86
ΔH_f (0 K) (eV per atom): 0.670
N(E_F) (states/eV/cell): 2.536
Space group: P-6m2 (187)

Unit cell a=4.6131 b=4.6131 c=5.5536 alpha=90.00 beta=90.00 gamma=120.00
Positions (direct):
Os  0.3333  0.6667  0.4999
La  0.6667  0.3333  0.5000
K  0.0000  0.0000  0.0001

=====

Density functional theory data (PBE-GGA) for an optimized crystal structure of BaHfRh2.

Computed properties:
Size of the total moment (μB/f.u.): 0.0
E above lowest polymorph (meV/atom): 0
ΔH_f (0 K) (eV per atom): -0.493
N(E_F) (states/eV/cell): 2.529
Space group: P4/mmm (123)

Unit cell a=3.3390 b=3.3390 c=7.7543 alpha=90.00 beta=90.00 gamma=90.00
Positions (direct):
Rh  0.0000  0.0000  0.1897
Hf  0.5000  0.5000  0.0000
Rh  0.0000  0.0000  0.8103
Ba  0.5000  0.5000  0.5000

=====

Density functional theory data (PBE-GGA) for an optimized crystal structure of CsKLi2.

Computed properties:
Size of the total moment (μB/f.u.): 0.0
E above lowest polymorph (meV/atom): 0
ΔH_f (0 K) (eV per atom): 0.230
N(E_F) (states/eV/cell): 3.187
Space group: Fm-3m (225)

Unit cell a=6.7505 b=6.7505 c=6.7505 alpha=60.00 beta=60.00 gamma=60.00
Positions (direct):
K  0.0000  0.0000  0.0000
Cs  0.5000  0.5000  0.5000
Li  0.2500  0.2500  0.2500
Li  0.7500  0.7500  0.7500

=====

Density functional theory data (PBE-GGA) for an optimized crystal structure of Eu2TlSe.

Computed properties:
Size of the total moment (μB/f.u.): 14.4
E above lowest polymorph (meV/atom): 0
Uncorrected formation energy (meV per atom): -1089
N(E_F) (states/eV/cell): 21.517
Space group: R-3m (166)

Unit cell a=4.1808 b=4.1808 c=8.8218 alpha=76.29 beta=76.29 gamma=60.00
Positions (direct):
Tl  0.5000  0.5000  0.5000
Se  0.0000  0.0000  0.0000
Eu  0.7381  0.7381  0.7858
Eu  0.2619  0.2619  0.2142

=====

Density functional theory data (PBE-GGA) for an optimized crystal structure of Sn5SbTe4.

Computed properties:
Size of the total moment (μB/f.u.): 0.0
E above lowest polymorph (meV/atom): 0
Uncorrected formation energy (meV per atom): -217
N(E_F) (states/eV/cell): 2.240
Space group: I4/mmm (139)

Unit cell a=4.4637 b=4.4637 c=16.3288 alpha=97.86 beta=97.86 gamma=90.00
Positions (direct):
Sn  0.7008  0.7008  0.4016
Sb  0.0000  0.0000  0.0000
Sn  0.9030  0.9030  0.8060
Te  0.6005  0.6005  0.2010
Sn  0.2992  0.2992  0.5984
Te  0.8003  0.8003  0.6007
Te  0.1997  0.1997  0.3993
Sn  0.0970  0.0970  0.1940
Te  0.3995  0.3995  0.7990
Sn  0.5000  0.5000  0.0000

=====

Density functional theory data (PBE-GGA) for an optimized crystal structure of ZrTl2Cu2Te4.

Computed properties:
Size of the total moment (μB/f.u.): 0.0
Uncorrected formation energy (meV per atom): -429
N(E_F) (states/eV/cell): 1.651
Space group: C2/m (12)

Unit cell a=4.1501 b=8.4852 c=7.9570 alpha=108.26 beta=105.12 gamma=90.00
Positions (direct):
Cu  0.3139  0.0097  0.6278
Cu  0.6861  0.9903  0.3722
Zr  0.0000  0.0000  0.0000
Te  0.4805  0.2320  0.9611
Tl  0.1352  0.5708  0.2704
Te  0.1987  0.1909  0.3974
Tl  0.8648  0.4292  0.7296
Te  0.8013  0.8091  0.6026
Te  0.5195  0.7680  0.0389

=====

Density functional theory data (PBE-GGA) for an optimized crystal structure of Pm2Pr4Ho.

Computed properties:
Size of the total moment (μB/f.u.): 0.0
E above lowest polymorph (meV/atom): 0
ΔH_f (0 K) (eV per atom): 0.044
N(E_F) (states/eV/cell): 20.066
Space group: P1 (1)

Unit cell a=7.2154 b=9.1078 c=8.8105 alpha=114.28 beta=101.89 gamma=101.41
Positions (direct):
Pr  0.9834  0.4675  0.6667
Pr  0.5141  0.7466  0.4988
Pr  0.7028  0.1891  0.8138
Pr  0.6277  0.6100  0.0870
Ho  0.0113  0.7465  0.4977
Pm  0.4037  0.8780  0.9324
Pr  0.0956  0.3298  0.2549
Pr  0.2989  0.0320  0.3717
Pr  0.5979  0.3282  0.2559
Pr  0.2001  0.1876  0.8162
Pm  0.8034  0.0330  0.3714
Pm  0.1242  0.6094  0.0879
Ho  0.9031  0.8764  0.9316
Pm  0.4837  0.4659  0.6642

=====

Density functional theory data (PBE-GGA) for an optimized crystal structure of KPtAu.

Computed properties:
Size of the total moment (μB/f.u.): 0.0
E above lowest polymorph (meV/atom): 200
ΔH_f (0 K) (eV per atom): -0.051
N(E_F) (states/eV/cell): 4.287
Space group: C2/m (12)

Unit cell a=7.8613 b=7.8613 c=7.7532 alpha=55.34 beta=140.96 gamma=142.64
Positions (direct):
Au  0.1275  0.0832  0.2107
Au  0.8725  0.9168  0.7893
Pt  0.5000  0.5000  0.5000
Pt  0.0000  0.0000  0.5000
K  0.7792  0.3797  0.1589
K  0.2208  0.6203  0.8411

=====

Density functional theory data (PBE-GGA) for an optimized crystal structure of SrLiZn.

Computed properties:
Size of the total moment (μB/f.u.): 0.0
E above lowest polymorph (meV/atom): 53
ΔH_f (0 K) (eV per atom): -0.068
N(E_F) (states/eV/cell): 2.051
Space group: I4mm (107)

Unit cell a=6.0689 b=6.0691 c=3.8161 alpha=71.67 beta=71.68 gamma=36.65
Positions (direct):
Zn  0.3595  0.3595  0.6405
Sr  0.6761  0.6761  0.3239
Li  0.9645  0.9645  0.0355

=====

Density functional theory data (PBE-GGA) for an optimized crystal structure of Ba8PdRh3Br4.

Computed properties:
Size of the total moment (μB/f.u.): 0.0
Uncorrected formation energy (meV per atom): -982
N(E_F) (states/eV/cell): 3.808
Space group: R-3m (166)

Unit cell a=9.1582 b=9.7342 c=9.1578 alpha=118.08 beta=120.00 gamma=90.00
Positions (direct):
Ba  0.7580  0.2887  0.0305
Ba  0.2627  0.2880  0.5253
Ba  0.7373  0.7120  0.4747
Br  0.0000  0.0000  0.0000
Pd  0.0000  0.5000  0.0000
Ba  0.7580  0.2888  0.5160
Ba  0.2420  0.7112  0.4840
Rh  0.0000  0.5000  0.5000
Br  0.5000  0.0000  0.0000
Ba  0.2725  0.2887  0.0305
Br  0.0000  0.0000  0.5000
Ba  0.7275  0.7113  0.9695
Ba  0.2420  0.7113  0.9695
Rh  0.5000  0.5000  0.5000
Rh  0.5000  0.5000  0.0000
Br  0.5000  0.0000  0.5000

=====

Density functional theory data (PBE-GGA) for an optimized crystal structure of ThSnP2Rh5.

Computed properties:
Size of the total moment (μB/f.u.): 0.0
ΔH_f (0 K) (eV per atom): -0.872
N(E_F) (states/eV/cell): 2.881
Space group: P4/mmm (123)

Unit cell a=4.0807 b=4.0807 c=8.7206 alpha=90.00 beta=90.00 gamma=90.00
Positions (direct):
P  0.5000  0.5000  0.8631
Rh  0.5000  0.0000  0.2680
Sn  0.0000  0.0000  0.5000
Rh  0.5000  0.0000  0.7320
Rh  0.5000  0.5000  0.5000
Rh  0.0000  0.5000  0.7320
P  0.5000  0.5000  0.1369
Rh  0.0000  0.5000  0.2680
Th  0.0000  0.0000  0.0000

=====

Density functional theory data (PBE-GGA) for an optimized crystal structure of Sm2Ga3Cu12Pd.

Computed properties:
Size of the total moment (μB/f.u.): 0.0
ΔH_f (0 K) (eV per atom): 0.024
N(E_F) (states/eV/cell): 10.476
Space group: R-3m (166)

Unit cell a=12.1079 b=12.1079 c=12.1079 alpha=25.51 beta=25.51 gamma=25.51
Positions (direct):
Pd  0.0000  0.0000  0.0000
Cu  0.6082  0.1078  0.1078
Cu  0.3996  0.8660  0.3996
Cu  0.6004  0.6004  0.1340
Cu  0.3996  0.3996  0.8660
Cu  0.1078  0.6082  0.1078
Ga  0.0000  0.0000  0.5000
Cu  0.8922  0.3918  0.8922
Cu  0.3918  0.8922  0.8922
Cu  0.6004  0.1340  0.6004
Ga  0.0000  0.5000  0.0000
Sm  0.3577  0.3577  0.3577
Cu  0.1340  0.6004  0.6004
Sm  0.6423  0.6423  0.6423
Cu  0.1078  0.1078  0.6082
Ga  0.5000  0.0000  0.0000
Cu  0.8922  0.8922  0.3918
Cu  0.8660  0.3996  0.3996

=====

Density functional theory data (PBE-GGA) for an optimized crystal structure of Co2HgTe.

Computed properties:
Size of the total moment (μB/f.u.): 0.0
E above lowest polymorph (meV/atom): 150
Uncorrected formation energy (meV per atom): 429
N(E_F) (states/eV/cell): 3.034
Space group: R-3m (166)

Unit cell a=7.2510 b=7.2510 c=7.2510 alpha=26.94 beta=26.94 gamma=26.94
Positions (direct):
Co  0.4930  0.4930  0.4930
Te  0.7500  0.7500  0.7500
Hg  0.2500  0.2500  0.2500
Co  0.0070  0.0070  0.0070

=====

Density functional theory data (PBE-GGA) for an optimized crystal structure of TlPtIN2.

Computed properties:
Size of the total moment (μB/f.u.): 2.9
E above lowest polymorph (meV/atom): 722
Uncorrected formation energy (meV per atom): 1994
N(E_F) (states/eV/cell): 4.492
Space group: P4/mmm (123)

Unit cell a=4.1423 b=4.1423 c=7.3817 alpha=90.00 beta=90.00 gamma=90.00
Positions (direct):
Tl  0.0000  0.0000  0.0000
Pt  0.5000  0.5000  0.5000
I  0.0000  0.0000  0.5000
N  0.5000  0.0000  0.0000
N  0.0000  0.5000  0.0000

=====

Density functional theory data (PBE-GGA) for an optimized crystal structure of Ba2Al5Pd.

Computed properties:
Size of the total moment (μB/f.u.): 0.0
ΔH_f (0 K) (eV per atom): -0.212
N(E_F) (states/eV/cell): 5.076
Space group: I4mm (107)

Unit cell a=7.3275 b=7.3275 c=7.3275 alpha=70.86 beta=131.60 gamma=131.60
Positions (direct):
Pd  0.0000  0.0857  0.0857
Ba  0.5000  0.7157  0.2157
Al  0.5050  0.2224  0.2224
Al  0.0000  0.2224  0.7174
Al  0.4950  0.7174  0.7174
Al  0.0000  0.3254  0.3254
Al  0.0000  0.7174  0.2224
Ba  0.5000  0.2157  0.7157